# 1
# PtS2Cl6

A relaxed structure of PtS2Cl6 (PBE, Alexandria via LeMat-Bulk).

ΔE to the lowest computed polymorph in meV per atom: 88
Spin magnetization in Bohr magnetons per cell: 0.590
Formation energy (no corrections) in meV/atom: -198

Cell: 3.664 8.235 9.770 Å, 78.01 85.65 88.26°
Space group P-1 (No. 2)
Asymmetric unit:
Pt 0.000 0.000 0.000 x1
S 0.005 0.617 0.434 x2
Cl 0.011 0.252 0.413 x2
Cl 0.050 0.024 0.757 x2
Cl 0.490 0.197 0.980 x2



# 2
# PtS8Cl2

A relaxed structure of PtS8Cl2 (PBE, Alexandria via LeMat-Bulk).

Spin magnetization in Bohr magnetons per cell: 0.000
Formation energy (no corrections) in meV/atom: 19

Cell: 5.801 7.759 7.780 Å, 84.81 88.13 86.15°
Space group P-1 (No. 2)
Asymmetric unit:
Pt 0.000 0.000 0.000 x1
S 0.013 0.891 0.744 x2
S 0.162 0.460 0.052 x2
S 0.183 0.623 0.246 x2
S 0.320 0.843 0.134 x2
Cl 0.318 0.752 0.694 x2



# 3
# Pt4SCl2

A relaxed structure of Pt4SCl2 (PBE, Alexandria via LeMat-Bulk).

Spin magnetization in Bohr magnetons per cell: 0.000
Formation energy (no corrections) in meV/atom: 445

Cell: 4.512 4.512 14.797 Å, 90.00 90.00 90.00°
Space group I4/mmm (No. 139)
Asymmetric unit:
Pt 0.000 0.000 0.147 x4
Pt 0.000 0.500 0.000 x4
S 0.000 0.000 0.000 x2
Cl 0.000 0.000 0.303 x4